## Tb4Sc5In (PBE)

Data for a relaxed Tb4Sc5In crystal.

Output
**Density of states at the Fermi level**: 1.50 states/eV/atom
**Size of the total moment**: 0.000 μB per atom
**Formation enthalpy at 0 K**: 0.73 eV/f.u.

abc: 7.691 7.691 7.691
angles: 97.37 97.37 138.03
Positions (direct):
Tb: 0.000 0.313 0.313
Tb: 0.000 0.687 0.687
Tb: 0.313 0.000 0.313
Tb: 0.687 0.000 0.687
Sc: 0.310 0.310 0.632
Sc: 0.310 0.678 0.000
Sc: 0.678 0.310 0.000
Sc: 0.678 0.678 0.368
Sc: 0.768 0.768 0.000
In: 0.256 0.256 0.000